Entry 1:
The following is a PBE-GGA calculation of crystalline HfCuSnOs at its relaxed geometry, from OQMD via LeMat-Bulk.

Geometry as POSCAR:
```
HfCuSnOs
1.0
0.000 3.254 3.254
3.254 0.000 3.254
3.254 3.254 0.000
Hf Cu Sn Os
1 1 1 1
direct
0.000 0.000 0.000
0.500 0.500 0.500
0.250 0.250 0.250
0.750 0.750 0.750
```

Summary:
M_tot: 0.0 μB/f.u.
excess energy over the best structure of this formula in the dataset: 0.306 eV per atom
DFT total energy: -7.08 eV/atom

Entry 2:
The following is a PBE-GGA calculation of crystalline Zr4Al3C6 at its relaxed geometry, from OQMD via LeMat-Bulk.

Geometry as POSCAR:
```
Zr4Al3C6
1.0
3.356 0.000 0.000
-1.678 2.906 0.000
0.000 0.000 33.102
Zr Al C
8 6 12
direct
0.000 0.000 0.121
0.000 0.000 0.379
0.000 0.000 0.621
0.000 0.000 0.879
0.333 0.667 0.040
0.333 0.667 0.460
0.667 0.333 0.540
0.667 0.333 0.960
0.333 0.667 0.250
0.333 0.667 0.689
0.333 0.667 0.811
0.667 0.333 0.189
0.667 0.333 0.311
0.667 0.333 0.750
0.000 0.000 0.000
0.000 0.000 0.500
0.333 0.667 0.168
0.333 0.667 0.332
0.333 0.667 0.583
0.333 0.667 0.750
0.333 0.667 0.917
0.667 0.333 0.083
0.667 0.333 0.250
0.667 0.333 0.417
0.667 0.333 0.668
0.667 0.333 0.832
```

Summary:
M_tot: 0.0 μB/f.u.
DFT total energy: -8.32 eV/atom

Entry 3:
The following is a PBE-GGA calculation of crystalline RbNbTeAuSe2 at its relaxed geometry, from OQMD via LeMat-Bulk.

Geometry as POSCAR:
```
RbNbTeAuSe2
1.0
1.889 -8.400 0.000
1.889 8.400 0.000
0.000 0.000 10.540
Rb Nb Te Au Se
2 2 2 2 4
direct
0.227 0.773 0.750
0.773 0.227 0.250
0.000 0.000 0.000
0.000 0.000 0.500
0.082 0.918 0.250
0.918 0.082 0.750
0.458 0.542 0.250
0.542 0.458 0.750
0.389 0.611 0.036
0.389 0.611 0.464
0.611 0.389 0.536
0.611 0.389 0.964
```

Summary:
M_tot: 0.5 μB/f.u.
DFT total energy: -4.62 eV/atom